{"formula": "Ho4Ni13C4", "functional": "PBE", "state": "optimized geometry", "energy_ev_per_cell": -137.7, "delta_e_f_ev_per_atom": -0.351, "total_magnetization_mub_per_cell": 0.0, "lattice_angstrom": [[8.371, -0.004, 0.000], [-0.186, 8.369, 0.000], [0.000, 0.000, 3.846]], "species": ["Ho", "Ni", "Ho", "C", "Ni", "Ni", "Ni", "C", "Ni", "Ni", "C", "Ho", "Ni", "Ho", "Ni", "Ni", "Ni", "Ni", "C", "Ni", "Ni"], "fractional_positions": [[0.652, 0.652, 0.500], [0.569, 0.216, 0.000], [0.812, 0.188, 0.500], [0.557, 0.443, 0.000], [0.074, 0.291, 0.000], [0.000, 0.000, 0.000], [0.431, 0.784, 0.000], [0.000, 0.500, 0.000], [0.291, 0.074, 0.000], [0.926, 0.709, 0.000], [0.443, 0.557, 0.000], [0.188, 0.812, 0.500], [0.500, 0.000, 0.500], [0.348, 0.348, 0.500], [0.709, 0.926, 0.000], [0.216, 0.569, 0.000], [0.123, 0.123, 0.500], [0.000, 0.500, 0.500], [0.500, 0.000, 0.000], [0.877, 0.877, 0.500], [0.784, 0.431, 0.000]]}